[1]
Compound: PrOsC
Source: Alexandria
Functional: PBE
Structure: optimized geometry

SG	Pbcm
energy above the lowest structure with this stoichiometry	0.90	eV/f.u.

Cell and atoms, written as POSCAR:
```
PrOsC
1.0
5.3731 0.0000 0.0000
0.0000 6.3094 0.0000
0.0000 0.0000 5.5472
Pr Os C
4 4 4
Cartesian
0.5686 0.6325 1.3868
0.5686 2.5223 4.1604
4.8045 3.7872 1.3868
4.8045 5.6770 4.1604
2.2521 4.7321 0.0000
2.2521 4.7321 2.7736
3.1210 1.5774 0.0000
3.1210 1.5774 2.7736
2.1151 0.2346 4.1604
2.1151 2.9201 1.3868
3.2580 3.3893 4.1604
3.2580 6.0748 1.3868
```

---

[2]
Compound: Pr2Os2C3
Source: Alexandria
Functional: PBE
Structure: optimized geometry

SG	C2/m

Cell and atoms, written as POSCAR:
```
Pr2Os2C3
1.0
5.9956 -1.7530 0.0000
5.9956 1.7530 0.0000
-2.6009 0.0000 5.2072
Pr Os C
2 2 3
Cartesian
0.4824 0.0000 1.6067
8.9080 0.0000 3.6004
3.6232 0.0000 0.9521
5.7671 0.0000 4.2551
0.8907 0.0000 4.0556
4.6952 0.0000 2.6036
8.4997 0.0000 1.1516
```

---

[3]
Compound: Pr2OsC4
Source: Alexandria
Functional: PBE
Structure: optimized geometry

SG	Ibam

Cell and atoms, written as POSCAR:
```
Pr2OsC4
1.0
-3.9619 4.9992 2.7376
3.9619 -4.9992 2.7376
3.9619 4.9992 -2.7376
Pr Os C
4 2 8
Cartesian
1.1714 1.5109 0.0000
5.1333 3.4883 0.0000
-1.1714 1.5109 2.7376
2.7905 3.4883 2.7376
3.9619 0.0000 1.3688
0.0000 4.9992 1.3688
5.3123 0.7300 0.0000
6.5877 1.2337 0.0000
2.6258 3.7655 0.0000
1.3504 4.2692 0.0000
2.6115 0.7300 2.7376
1.3361 1.2337 2.7376
-2.6258 3.7655 2.7376
-1.3504 4.2692 2.7376
```

---

[4]
Compound: PrOsC
Source: Alexandria
Functional: PBE
Structure: optimized geometry

SG	P3m1
energy above the lowest structure with this stoichiometry	0.15	eV/f.u.

Cell and atoms, written as POSCAR:
```
PrOsC
1.0
3.4818 0.0000 0.0000
-1.7409 3.0153 0.0000
0.0000 0.0000 4.9416
Pr Os C
1 1 1
Cartesian
0.0000 0.0000 0.0000
1.7409 1.0051 2.4733
0.0000 2.0102 2.4786
```

---

[5]
Compound: Pr12Os5C15
Source: Alexandria
Functional: PBE
Structure: optimized geometry

SG	P-62m

Cell and atoms, written as POSCAR:
```
Pr12Os5C15
1.0
11.0581 0.0000 0.0000
-5.5290 9.5766 0.0000
0.0000 0.0000 5.3998
Pr Os C
12 5 15
Cartesian
-2.3687 4.1026 0.0000
-4.3856 7.5961 0.0000
-1.9766 6.9569 2.6999
1.1434 1.9805 0.0000
0.4925 4.3863 2.6999
4.7373 0.0000 0.0000
3.5524 2.6196 2.6999
1.4842 7.8099 2.6999
3.1604 5.4739 0.0000
7.0132 1.7667 2.6999
8.7712 0.0000 0.0000
6.0215 5.1903 2.6999
-0.8886 1.5392 2.6999
1.7773 0.0000 2.6999
0.0000 6.3844 0.0000
5.5290 3.1922 0.0000
4.6404 8.0374 2.6999
-1.8306 3.1707 2.6999
-2.4978 4.3263 2.6999
-4.4356 7.6826 2.6999
-1.8673 6.8111 0.0000
1.0935 1.8939 2.6999
0.5641 4.5539 0.0000
3.6612 0.0000 2.6999
4.9956 0.0000 2.6999
3.6617 2.7655 0.0000
1.3032 7.7882 0.0000
3.0312 5.2502 2.6999
3.6984 6.4059 2.6999
6.8322 1.7884 0.0000
8.8711 0.0000 2.6999
6.0932 5.0227 0.0000
```

---

[6]
Compound: PrOsC
Source: Alexandria
Functional: PBE
Structure: optimized geometry

SG	Pmma
energy above the lowest structure with this stoichiometry	0.00	eV/f.u.

Cell and atoms, written as POSCAR:
```
PrOsC
1.0
5.8262 0.0000 0.0000
0.0000 3.8170 0.0000
0.0000 0.0000 5.1748
Pr Os C
2 2 2
Cartesian
1.4566 0.0000 1.2087
4.3697 0.0000 3.9660
1.4566 1.9085 3.7809
4.3697 1.9085 1.3938
0.0000 1.9085 2.5874
2.9131 1.9085 2.5874
```

---

no.,ΔE_f (eV per atom),total magnetization (μB/atom)
1,0.353,0.000
2,-0.078,0.000
3,-0.096,0.000
4,0.102,0.000
5,-0.219,0.000
6,0.052,0.000